! Li2UCoO6 | the Alexandria database | GGA+U | optimized geometry; values from VASP
&SYSTEM
  ibrav = 0, nat = 10, ntyp = 4
/
ATOMIC_SPECIES
Li 6.94 Li.upf
U 238.03 U.upf
Co 58.93 Co.upf
O 16.00 O.upf
ATOMIC_POSITIONS crystal
Li 0.0000 0.5000 0.0000
Li 0.5000 0.0000 0.0000
U 0.0000 0.0000 0.7966
Co 0.5000 0.5000 0.7514
O 0.0000 0.0000 0.3127
O 0.2558 0.2558 0.8445
O 0.2558 0.7442 0.8445
O 0.5000 0.5000 0.3569
O 0.7442 0.2558 0.8445
O 0.7442 0.7442 0.8445
CELL_PARAMETERS angstrom
5.6356 0.0000 0.0000
0.0000 5.6356 0.0000
0.0000 0.0000 4.2329
! V: 134.4 Å³/cell
! size of the total moment: 3.000 μB/cell
! VASP energy: -69.357 eV/cell
! ρ: 5.0 g/cm³